Entry 1:
HoErTm4 | PBE | optimized geometry

Cell and atoms, written as POSCAR:
```
HoErTm4
1.0
4.331 -7.206 0.000
4.331 7.206 0.000
-2.214 0.000 5.952
Ho Er Tm
2 2 8
Cartesian
3.777 -7.204 1.488
2.671 7.204 4.464
2.671 1.253 4.464
3.777 -1.253 1.488
2.491 4.382 2.766
2.303 1.852 0.724
5.063 4.382 0.210
1.197 -1.852 3.700
5.251 1.852 2.252
1.385 -4.382 5.742
4.144 -1.852 5.228
3.956 -4.382 3.186
```

Values from the calculation:
E_form, eV per atom: 0.1583
Energy above the most stable polymorph in this dataset, eV per formula unit: 0.47
Total magnetization, μB/cell: 0.00
E_tot, eV per formula unit: -26.08
Volume, Å³ per cell: 371.50

Entry 2:
NaLa3Os | PBE | optimized geometry

Cell and atoms, written as POSCAR:
```
NaLa3Os
1.0
4.004 0.000 0.000
0.000 3.857 9.658
0.000 -3.857 9.658
Na La Os
1 3 1
Cartesian
0.000 0.000 0.000
0.000 -1.891 13.059
0.000 1.891 13.059
2.002 0.000 15.932
2.002 0.000 13.348
```

Values from the calculation:
E_form, eV per atom: 0.4446
Energy above the most stable polymorph in this dataset, eV per formula unit: 2.67
Total magnetization, μB/cell: 0.73
E_tot, eV per formula unit: -25.11
Volume, Å³ per cell: 298.31

Entry 3:
YInAu2 | PBE | optimized geometry

Cell and atoms, written as POSCAR:
```
YInAu2
1.0
4.866 -1.910 0.000
4.866 1.910 0.000
-1.417 0.000 4.829
Y In Au
1 1 2
Cartesian
0.000 0.000 0.000
1.330 0.000 3.195
4.110 0.000 2.366
6.940 0.000 0.978
```

Values from the calculation:
E_form, eV per atom: -0.5346
Total magnetization, μB/cell: 0.00
E_tot, eV per formula unit: -17.90
Volume, Å³ per cell: 89.75

Entry 4:
Li2Cu2Au5 | PBE | optimized geometry

Cell and atoms, written as POSCAR:
```
Li2Cu2Au5
1.0
7.089 -2.023 0.000
7.089 2.023 0.000
-1.120 0.000 5.299
Li Cu Au
2 2 5
Cartesian
0.908 0.000 1.749
12.149 0.000 3.550
3.289 0.000 4.704
9.768 0.000 0.595
0.585 0.000 4.425
3.787 0.000 2.055
7.089 0.000 0.000
9.270 0.000 3.244
12.472 0.000 0.874
```

Values from the calculation:
E_form, eV per atom: -0.2330
Energy above the most stable polymorph in this dataset, eV per formula unit: 0.00
Total magnetization, μB/cell: 0.00
E_tot, eV per formula unit: -30.50
Volume, Å³ per cell: 151.99

Entry 5:
SbPdF2 | PBE | optimized geometry

Cell and atoms, written as POSCAR:
```
SbPdF2
1.0
0.000 3.084 3.084
3.084 0.000 3.084
3.084 3.084 0.000
Sb Pd F
1 1 2
Cartesian
0.000 0.000 0.000
3.084 3.084 3.084
1.542 1.542 1.542
4.627 4.627 4.627
```

Values from the calculation:
Formation energy from raw total energies, eV per atom: -0.77
Energy above the most stable polymorph in this dataset, eV per formula unit: 1.30
Total magnetization, μB/cell: 0.00
E_tot, eV per formula unit: -16.15
Volume, Å³ per cell: 58.69

Entry 6:
BaBiClO2 | PBE | optimized geometry

Cell and atoms, written as POSCAR:
```
BaBiClO2
1.0
2.254 -6.876 0.000
2.254 6.876 0.000
0.000 0.000 7.590
Ba Bi Cl O
2 2 2 4
Cartesian
2.254 3.808 5.692
2.254 -3.808 1.897
2.254 0.000 0.000
2.254 0.000 3.795
2.254 6.522 1.897
2.254 -6.522 5.692
2.254 2.167 0.254
2.254 2.167 3.541
2.254 -2.167 4.049
2.254 -2.167 7.336
```

Values from the calculation:
Formation energy from raw total energies, eV per atom: -1.52
Total magnetization, μB/cell: 0.00
E_tot, eV per formula unit: -25.15
Volume, Å³ per cell: 235.30

Entry 7:
In2AgHg2 | PBE | optimized geometry

Cell and atoms, written as POSCAR:
```
In2AgHg2
1.0
7.445 0.000 0.000
0.000 7.445 0.000
0.000 0.000 4.659
In Ag Hg
4 2 4
Cartesian
1.109 2.613 0.000
2.613 6.336 0.000
4.831 1.109 0.000
6.336 4.831 0.000
0.000 0.000 0.000
3.722 3.722 0.000
1.217 4.939 2.330
2.505 1.217 2.330
4.939 6.228 2.330
6.228 2.505 2.330
```

Values from the calculation:
E_form, eV per atom: 0.0803
Energy above the most stable polymorph in this dataset, eV per formula unit: 0.24
Total magnetization, μB/cell: 0.00
E_tot, eV per formula unit: -8.53
Volume, Å³ per cell: 258.25

Entry 8:
ErCoSe | PBE | optimized geometry

Cell and atoms, written as POSCAR:
```
ErCoSe
1.0
2.002 1.156 10.699
-2.002 1.156 10.699
0.000 -2.312 10.699
Er Co Se
2 2 2
Cartesian
0.000 0.000 2.051
0.000 0.000 30.045
0.000 0.000 10.608
0.000 0.000 21.487
0.000 0.000 7.204
0.000 0.000 24.891
```

Values from the calculation:
Formation energy from raw total energies, eV per atom: -0.79
Total magnetization, μB/cell: 2.48
E_tot, eV per formula unit: -17.51
Volume, Å³ per cell: 148.55

Entry 9:
Cs3Pu2I8 | PBE | optimized geometry

Cell and atoms, written as POSCAR:
```
Cs3Pu2I8
1.0
9.038 0.000 0.000
-3.775 8.662 0.000
-4.003 -2.961 9.972
Cs Pu I
3 2 8
Cartesian
0.000 0.000 0.000
0.506 -0.648 6.234
0.754 6.349 3.738
-3.224 2.675 7.124
4.484 3.027 2.847
-3.186 -0.422 7.257
-1.993 2.012 4.161
-4.246 3.273 9.929
2.313 0.821 2.989
-1.052 4.880 6.983
5.506 2.428 0.043
3.253 3.690 5.810
4.446 6.123 2.715
```

Values from the calculation:
Formation energy from raw total energies, eV per atom: -1.25
Energy above the most stable polymorph in this dataset, eV per formula unit: 0.00
Total magnetization, μB/cell: 11.00
E_tot, eV per formula unit: -59.92
Volume, Å³ per cell: 780.72

Entry 10:
MgCr2Ni | PBE | optimized geometry

Cell and atoms, written as POSCAR:
```
MgCr2Ni
1.0
0.000 3.020 3.020
3.020 0.000 3.020
3.020 3.020 0.000
Mg Cr Ni
1 2 1
Cartesian
0.000 0.000 0.000
3.020 3.020 3.020
4.530 4.530 4.530
1.510 1.510 1.510
```

Values from the calculation:
E_form, eV per atom: 0.2340
Total magnetization, μB/cell: 0.01
E_tot, eV per formula unit: -25.69
Volume, Å³ per cell: 55.07

Entry 11:
Ac5Ce2S12 | PBE | optimized geometry

Cell and atoms, written as POSCAR:
```
Ac5Ce2S12
1.0
8.102 -3.924 0.000
8.102 3.924 0.000
-2.884 0.000 9.053
Ac Ce S
5 2 12
Cartesian
0.000 0.000 0.000
4.447 0.000 1.266
3.093 0.000 6.056
10.227 0.000 2.998
8.873 0.000 7.788
6.660 1.973 4.527
6.660 -1.973 4.527
-0.846 0.000 2.798
4.111 1.790 3.729
2.972 1.952 8.418
10.348 1.952 0.635
9.210 1.790 5.324
7.211 0.000 2.692
6.110 0.000 6.361
4.111 -1.790 3.729
2.972 -1.952 8.418
10.348 -1.952 0.635
9.210 -1.790 5.324
14.166 0.000 6.256
```

Values from the calculation:
Formation energy from raw total energies, eV per atom: -1.93
Total magnetization, μB/cell: 0.00
E_tot, eV per formula unit: -118.63
Volume, Å³ per cell: 575.64

Entry 12:
AsOs2Au | PBE | optimized geometry

Cell and atoms, written as POSCAR:
```
AsOs2Au
1.0
1.428 0.824 9.189
-1.428 0.824 9.189
0.000 -1.648 9.189
As Os Au
1 2 1
Cartesian
0.000 0.000 0.000
0.000 0.000 13.304
0.000 0.000 20.427
0.000 0.000 6.526
```

Values from the calculation:
E_form, eV per atom: 0.3615
Total magnetization, μB/cell: 0.00
E_tot, eV per formula unit: -28.94
Volume, Å³ per cell: 64.88